Entry 1:
{
  "formula": "NbCdNiPt",
  "functional": "GGA-PBE",
  "state": "relaxed",
  "cell": [[-3.0914, -2.0897, -2.5318], [-2.2500, -3.5406, 1.6539], [-4.3773, 0.3833, 1.0128]],
  "species": ["Cd", "Pt", "Nb", "Ni"],
  "frac_coords": [[0.5000, 0.5000, 0.5000], [0.7500, 0.7500, 0.7500], [0.0000, 0.0000, 0.0000], [0.2500, 0.2500, 0.2500]],
  "final_energy_ev_per_atom": -5.895,
  "ef_kcal_per_mol_atoms": -4.5
}



Entry 2:
{
  "formula": "SmTi2W",
  "functional": "GGA-PBE",
  "state": "relaxed",
  "cell": [[3.2715, 0.0000, 0.0000], [0.0000, 3.2715, 0.0000], [0.0000, 0.0000, 7.6079]],
  "species": ["Ti", "Sm", "W", "Ti"],
  "frac_coords": [[0.0000, 0.0000, 0.8119], [0.5000, 0.5000, 0.5000], [0.5000, 0.5000, 0.0000], [0.0000, 0.0000, 0.1881]],
  "final_energy_ev_per_atom": -8.225,
  "ef_kcal_per_mol_atoms": 3.2
}



Entry 3:
{
  "formula": "SmHo2Tm2Mg2",
  "functional": "GGA-PBE",
  "state": "relaxed",
  "cell": [[-1.1797, -0.8903, 5.2138], [-1.3013, -4.9885, 1.6701], [6.8484, -3.4665, 3.7739]],
  "species": ["Mg", "Tm", "Mg", "Tm", "Ho", "Ho", "Sm"],
  "frac_coords": [[0.7111, 0.7111, 0.8668], [0.8448, 0.8448, 0.4657], [0.2889, 0.2889, 0.1332], [0.1552, 0.1552, 0.5343], [0.4281, 0.4281, 0.7158], [0.5719, 0.5719, 0.2842], [0.0000, 0.0000, 0.0000]],
  "final_energy_ev_per_atom": -3.745,
  "ef_kcal_per_mol_atoms": -0.7
}



Entry 4:
{
  "formula": "CaGe3Pt3",
  "functional": "GGA-PBE",
  "state": "relaxed",
  "cell": [[-2.8786, -2.4410, 5.7484], [6.1274, -2.3275, 2.0800], [1.2073, 5.9928, 3.1494]],
  "species": ["Pt", "Pt", "Ge", "Pt", "Ge", "Ge", "Ge", "Ca", "Pt", "Ge", "Ca", "Pt", "Pt", "Ge"],
  "frac_coords": [[0.5000, 0.0000, 0.2500], [0.2500, 0.5000, 0.0000], [0.7500, 0.0000, 0.5000], [0.0000, 0.2500, 0.5000], [0.2500, 0.0000, 0.5000], [0.5000, 0.2500, 0.0000], [0.0000, 0.5000, 0.7500], [0.5000, 0.5000, 0.5000], [0.0000, 0.7500, 0.5000], [0.0000, 0.5000, 0.2500], [0.0000, 0.0000, 0.0000], [0.5000, 0.0000, 0.7500], [0.7500, 0.5000, 0.0000], [0.5000, 0.7500, 0.0000]],
  "final_energy_ev_per_atom": -5.293,
  "ef_kcal_per_mol_atoms": -10.1
}



Entry 5:
{
  "formula": "PmSm5Ho12",
  "functional": "GGA-PBE",
  "state": "relaxed",
  "cell": [[-2.4493, 8.0842, 7.4836], [3.2395, -0.2160, 9.8027], [4.9216, 2.9373, -1.5614]],
  "species": ["Ho", "Ho", "Ho", "Ho", "Pm", "Ho", "Ho", "Sm", "Ho", "Sm", "Sm", "Sm", "Ho", "Sm", "Ho", "Ho", "Ho", "Ho"],
  "frac_coords": [[0.8435, 0.6665, 0.5521], [0.0100, 0.3337, 0.9479], [0.6563, 0.3337, 0.0521], [0.3232, 0.0000, 0.0522], [0.0000, 0.0000, 0.0000], [0.4900, 0.6665, 0.4479], [0.9900, 0.6663, 0.0521], [0.6665, 0.6671, 0.0000], [0.6768, 0.0000, 0.9478], [0.8335, 0.3330, 0.5000], [0.5000, 0.0000, 0.5000], [0.3335, 0.3329, 0.0000], [0.3437, 0.6663, 0.9479], [0.1665, 0.6670, 0.5000], [0.8227, 0.0000, 0.4478], [0.1565, 0.3335, 0.4479], [0.5100, 0.3335, 0.5521], [0.1774, 0.0000, 0.5522]],
  "final_energy_ev_per_atom": -4.520,
  "ef_kcal_per_mol_atoms": 2.5
}



Entry 6:
{
  "formula": "NaVSn3",
  "functional": "GGA-PBE",
  "state": "relaxed",
  "cell": [[-2.2590, -3.4816, 3.1063], [1.1035, -3.7520, -3.4028], [4.5336, -0.8216, 2.3761]],
  "species": ["Na", "Sn", "Sn", "Sn", "V"],
  "frac_coords": [[0.5000, 0.5000, 0.5000], [0.0000, 0.0000, 0.5000], [0.5000, 0.0000, 0.0000], [0.0000, 0.5000, 0.0000], [0.0000, 0.0000, 0.0000]],
  "final_energy_ev_per_atom": -4.457,
  "ef_kcal_per_mol_atoms": 0.7,
  "polymorph_energy_mev_per_atom": 0
}



Summary of DOS at the Fermi energy in states/eV/f.u.
4.19, 5.09, 7.50, 3.31, 31.70, 2.29
(order as listed above)